# 1
Computed, not measured: a geometry-optimized GeBiH8C2S4N structure at the PBE-GGA level of DFT.

Unit cell a=7.1149 b=6.8811 c=10.9425 alpha=76.58 beta=90.00 gamma=90.00
Atoms (fractional coordinates):
Ge1 0.1950 0.7738 0.3480
Ge2 0.6950 0.2262 0.6520
Bi1 0.7887 0.7587 0.5372
Bi2 0.2887 0.2413 0.4628
H1 0.7586 0.7411 0.2081
H2 0.2586 0.2589 0.7919
H3 0.5432 0.6487 0.1832
H4 0.0432 0.3513 0.8168
H5 0.7533 0.3818 0.2044
H6 0.2533 0.6182 0.7956
H7 0.6961 0.4614 0.0397
H8 0.1961 0.5386 0.9603
H9 0.9157 0.5321 0.0989
H10 0.4157 0.4679 0.9011
H11 0.6089 0.9834 0.0565
H12 0.1089 0.0166 0.9435
H13 0.7932 0.8785 0.9805
H14 0.2932 0.1215 0.0195
H15 0.5556 0.8057 0.9643
H16 0.0556 0.1943 0.0357
C1 0.7663 0.5020 0.1194
C2 0.2663 0.4980 0.8806
C3 0.6574 0.8492 0.0282
C4 0.1574 0.1508 0.9718
S1 0.9300 0.9460 0.3001
S2 0.4300 0.0540 0.6999
S3 0.4415 0.9793 0.3412
S4 0.9415 0.0207 0.6588
S5 0.2563 0.5527 0.2348
S6 0.7563 0.4473 0.7652
S7 0.6342 0.3953 0.4519
S8 0.1342 0.6047 0.5481
N1 0.6779 0.6858 0.1429
N2 0.1779 0.3142 0.8571

# 2
Computed, not measured: a geometry-optimized Ho4GeBiC structure at the PBE-GGA level of DFT.

Unit cell a=6.7258 b=6.7382 c=8.4392 alpha=90.00 beta=113.48 gamma=90.00
Atoms (fractional coordinates):
Ho1 0.9157 0.2500 0.8313
Ho2 0.4036 0.7500 0.8072
Ho3 0.0843 0.7500 0.1687
Ho4 0.5964 0.2500 0.1928
Ho5 0.5000 0.5000 0.5000
Ho6 0.0000 0.0000 0.5000
Ho7 0.5000 0.0000 0.5000
Ho8 0.0000 0.5000 0.5000
Ge1 0.1139 0.2500 0.2277
Ge2 0.8861 0.7500 0.7723
Bi1 0.6039 0.7500 0.2078
Bi2 0.3961 0.2500 0.7922
C1 0.2457 0.7500 0.4915
C2 0.7543 0.2500 0.5085

As for the energy relative to the elements: -0.634 eV per atom.

# 3
Computed, not measured: a geometry-optimized Ho5GeBi2C structure at the PBE-GGA level of DFT.

Unit cell a=4.6709 b=4.6709 c=11.0098 alpha=90.00 beta=90.00 gamma=90.00
Atoms (fractional coordinates):
Ho1 0.0000 0.5000 0.5000
Ho2 0.5000 0.0000 0.5000
Ho3 0.0000 0.0000 0.7409
Ho4 0.0000 0.0000 0.2591
Ho5 0.5000 0.5000 0.0000
Ge1 0.0000 0.0000 0.0000
Bi1 0.5000 0.5000 0.2878
Bi2 0.5000 0.5000 0.7122
C1 0.0000 0.0000 0.5000

As for the energy relative to the elements: -0.605 eV per atom.

# 4
Computed, not measured: a geometry-optimized GeBiCI2 structure at the PBE-GGA level of DFT.

Unit cell a=5.0278 b=4.8524 c=5.0278 alpha=90.00 beta=90.00 gamma=90.00
Atoms (fractional coordinates):
I1 0.0000 0.0000 0.5000
I2 0.5000 0.0000 0.0000
C1 0.0000 0.0000 0.0000
Ge1 0.0000 0.5000 0.0000
Bi1 0.5000 0.5000 0.5000

For the uncorrected formation energy, the calculation gives 111 kJ/mol of atoms.

We obtain VASP energy values of -4.915; -5.781; -5.548; -3.018 eV/atom for the records listed above, in that order.